1.
First-principles (PBE) data for a relaxed SmDy4Y3S8 crystal, as listed in Alexandria.

Energy relative to the elements, uncorrected in eV/atom: -1.993
M_tot in μB/f.u.: 0.00

Lattice parameters (Å, degrees): 7.850 7.850 7.850 59.98 59.98 59.98
Sites, in units of the cell vectors:
Sm 0.000 0.000 0.000
Dy 0.000 0.000 0.500
Dy 0.000 0.500 0.000
Dy 0.500 0.000 0.000
Dy 0.500 0.500 0.500
Y 0.000 0.500 0.500
Y 0.500 0.000 0.500
Y 0.500 0.500 0.000
S 0.250 0.250 0.250
S 0.252 0.747 0.747
S 0.253 0.253 0.748
S 0.253 0.748 0.253
S 0.747 0.252 0.747
S 0.747 0.747 0.252
S 0.748 0.253 0.253
S 0.750 0.750 0.750

---

2.
First-principles (PBE) data for a relaxed KCoSi2 crystal, as listed in Alexandria.

Energy relative to the elements, uncorrected in eV/atom: 0.358
M_tot in μB/f.u.: 0.45
Excess energy over the best structure of this formula in the dataset in meV per atom: 376

Lattice parameters (Å, degrees): 6.052 6.052 6.052 155.08 121.18 64.87
Sites, in units of the cell vectors:
K 0.000 0.000 0.000
Co 0.500 0.500 0.000
Si 0.315 0.815 0.500
Si 0.685 0.185 0.500

---

3.
First-principles (PBE) data for a relaxed Nb2HgC crystal, as listed in Alexandria.

M_tot in μB/f.u.: 0.00
Energy of formation from the pure elements in eV per atom: -0.33

Lattice parameters (Å, degrees): 7.438 7.438 7.438 24.89 24.89 24.89
Sites, in units of the cell vectors:
Nb 0.221 0.221 0.221
Nb 0.779 0.779 0.779
Hg 0.000 0.000 0.000
C 0.500 0.500 0.500

---

4.
First-principles (PBE) data for a relaxed RhBrCl6 crystal, as listed in Alexandria.

Energy relative to the elements, uncorrected in eV/atom: -0.170
M_tot in μB/f.u.: 0.00

Lattice parameters (Å, degrees): 5.984 5.984 7.214 101.34 101.34 106.03
Sites, in units of the cell vectors:
Rh 0.000 0.000 0.000
Br 0.000 0.000 0.500
Cl 0.124 0.784 0.218
Cl 0.216 0.876 0.782
Cl 0.338 0.338 0.165
Cl 0.662 0.662 0.835
Cl 0.784 0.124 0.218
Cl 0.876 0.216 0.782

---

5.
First-principles (PBE) data for a relaxed NaGaPb4 crystal, as listed in Alexandria.

M_tot in μB/f.u.: 0.00
Energy of formation from the pure elements in eV per atom: 0.13

Lattice parameters (Å, degrees): 6.544 6.544 6.544 60.00 60.00 60.00
Sites, in units of the cell vectors:
Na 0.000 0.000 0.000
Ga 0.750 0.750 0.750
Pb 0.375 0.375 0.375
Pb 0.375 0.375 0.874
Pb 0.375 0.874 0.375
Pb 0.874 0.375 0.375

---

6.
First-principles (PBE) data for a relaxed CsAcCuBr5 crystal, as listed in Alexandria.

Energy relative to the elements, uncorrected in eV/atom: -1.507
M_tot in μB/f.u.: 0.16

Lattice parameters (Å, degrees): 8.213 8.213 11.247 103.53 103.53 106.10
Sites, in units of the cell vectors:
Cs 0.142 0.858 0.750
Cs 0.858 0.142 0.250
Ac 0.500 0.500 0.000
Ac 0.500 0.500 0.500
Cu 0.190 0.810 0.250
Cu 0.810 0.190 0.750
Br 0.107 0.267 0.918
Br 0.185 0.600 0.378
Br 0.267 0.107 0.418
Br 0.400 0.815 0.122
Br 0.413 0.587 0.750
Br 0.587 0.413 0.250
Br 0.600 0.185 0.878
Br 0.733 0.893 0.582
Br 0.815 0.400 0.622
Br 0.893 0.733 0.082

---

7.
First-principles (PBE) data for a relaxed LiDyNp2Te4 crystal, as listed in Alexandria.

Energy relative to the elements, uncorrected in eV/atom: -0.889
M_tot in μB/f.u.: 9.26

Lattice parameters (Å, degrees): 7.551 4.353 7.577 90.00 109.35 90.00
Sites, in units of the cell vectors:
Li 0.000 0.000 0.000
Dy 0.500 0.500 0.000
Np 0.000 0.500 0.500
Np 0.500 0.000 0.500
Te 0.242 0.500 0.239
Te 0.247 0.000 0.758
Te 0.753 0.000 0.242
Te 0.758 0.500 0.761

---

8.
First-principles (PBE) data for a relaxed Pr6Dy12Y crystal, as listed in Alexandria.

M_tot in μB/f.u.: 0.00
Energy of formation from the pure elements in eV per atom: 0.22
Excess energy over the best structure of this formula in the dataset in meV per atom: 87

Lattice parameters (Å, degrees): 8.794 8.794 8.794 98.73 98.73 98.73
Sites, in units of the cell vectors:
Pr 0.157 0.597 0.597
Pr 0.403 0.403 0.843
Pr 0.403 0.843 0.403
Pr 0.597 0.157 0.597
Pr 0.597 0.597 0.157
Pr 0.843 0.403 0.403
Dy 0.000 0.257 0.743
Dy 0.000 0.743 0.257
Dy 0.144 0.144 0.418
Dy 0.144 0.418 0.144
Dy 0.257 0.000 0.743
Dy 0.257 0.743 0.000
Dy 0.418 0.144 0.144
Dy 0.582 0.856 0.856
Dy 0.743 0.000 0.257
Dy 0.743 0.257 0.000
Dy 0.856 0.582 0.856
Dy 0.856 0.856 0.582
Y 0.500 0.500 0.500